# 1
Computed, not measured: an optimized crystal structure of K2Ac2USe6 at the GGA-PBE level of DFT.

Calculated values
- Formation energy from raw total energies: -37.1 kcal/mol of atoms

```
11
Lattice="7.695 0.034 0.089 -3.774 6.706 0.089 -1.383 -2.377 7.723" Properties=species:S:1:pos:R:3 pbc="T T T"
Se 4.435 3.491 2.410
Ac 3.168 1.077 3.950
Se 2.023 3.477 5.582
K -1.830 5.575 0.089
Se 1.695 -1.218 5.491
Se 0.515 0.886 2.319
Se -1.897 0.872 5.491
U -0.691 -1.188 3.862
K 5.751 1.165 0.089
Ac -0.629 3.286 3.950
Se 0.843 5.581 2.410
```



# 2
Computed, not measured: an optimized crystal structure of CuHgMo2 at the GGA-PBE level of DFT.

Calculated values
- ΔE_f: 2.35 eV/f.u.

```
4
Lattice="9.561 -0.027 -0.016 9.152 2.770 -0.016 9.152 1.341 2.423" Properties=species:S:1:pos:R:3 pbc="T T T"
Cu 6.966 1.021 0.598
Mo 14.100 2.066 1.210
Mo 27.697 4.059 2.377
Hg 20.899 3.062 1.793
```



# 3
Computed, not measured: an optimized crystal structure of Li2CuB4Pb2O10 at the GGA-PBE level of DFT.

Calculated values
- Formation energy from raw total energies: -45.3 kcal/mol of atoms

```
38
Lattice="-7.835 -3.803 1.546 -5.604 -6.605 -1.789 -1.650 -11.211 8.316" Properties=species:S:1:pos:R:3 pbc="T T T"
B -9.915 -11.518 5.181
Li -5.698 -9.868 5.796
O -4.922 -6.878 1.022
Pb -6.898 -5.960 1.624
O -11.181 -12.448 2.539
O -11.343 -8.888 0.160
O -10.166 -14.741 7.051
Li -4.055 -5.290 0.416
B -7.764 -7.579 -0.959
Pb -8.129 -9.094 3.433
Pb -6.959 -12.525 4.640
B -10.585 -13.518 6.599
O -8.023 -8.335 0.211
Li -9.391 -11.751 2.277
O -7.065 -13.284 7.862
O -5.903 -4.179 0.460
O -12.280 -17.708 7.108
O -11.995 -14.711 4.059
B -8.318 -9.724 0.287
O -8.917 -11.134 4.288
Li -11.033 -16.329 7.657
O -3.908 -9.170 5.534
O -2.808 -3.910 0.965
O -3.745 -12.730 7.913
B -5.173 -10.100 2.892
O -9.734 -12.827 5.693
Cu -4.742 -7.507 4.931
O -6.658 -11.340 6.541
O -5.354 -8.792 2.380
B -4.504 -8.100 1.474
Pb -8.190 -15.658 6.449
O -6.171 -10.484 3.785
Cu -2.802 -3.303 -0.895
O -3.093 -6.908 4.014
O -9.185 -17.439 7.613
O -8.431 -10.279 1.533
B -7.324 -14.040 9.032
B -6.770 -11.895 7.787
```



# 4
Computed, not measured: an optimized crystal structure of NaTa2Re at the GGA-PBE level of DFT.

Calculated values
- ΔE_f: 2.06 eV/f.u.
- E above lowest polymorph: 0.00 eV per formula unit

```
4
Lattice="-2.063 -4.109 -0.368 -3.205 -0.690 -3.245 0.918 -2.727 -3.605" Properties=species:S:1:pos:R:3 pbc="T T T"
Re -2.175 -3.763 -3.609
Ta -3.262 -5.645 -5.413
Na 0.000 0.000 0.000
Ta -1.087 -1.882 -1.804
```



# 5
Computed, not measured: an optimized crystal structure of Np2Ga3Cu at the GGA-PBE level of DFT.

Calculated values
- ΔE_f: -0.99 eV/f.u.

```
12
Lattice="5.579 0.000 0.000 -2.790 4.832 0.000 0.000 0.000 8.138" Properties=species:S:1:pos:R:3 pbc="T T T"
Np 0.000 3.221 7.403
Ga 4.165 0.817 6.103
Ga -1.375 4.015 2.034
Cu 0.000 0.000 4.069
Ga 1.414 0.817 6.103
Np 2.790 1.611 0.735
Np 2.790 1.611 3.334
Np 0.000 3.221 4.803
Ga 2.790 3.198 6.103
Ga 0.000 1.633 2.034
Ga 1.375 4.015 2.034
Cu 0.000 0.000 0.000
```



# 6
Computed, not measured: an optimized crystal structure of La8GaP3I4 at the GGA-PBE level of DFT.

Calculated values
- Formation energy from raw total energies: -30.0 kcal/mol of atoms

```
16
Lattice="-6.342 -1.877 -5.629 -3.982 -5.549 6.337 1.523 8.254 2.231" Properties=species:S:1:pos:R:3 pbc="T T T"
La -6.688 -1.404 1.303
P -4.400 0.414 1.470
La -2.113 2.231 1.637
I -3.171 -0.939 -2.814
I 0.000 0.000 0.000
I 0.762 4.127 1.116
La -2.815 3.619 5.236
La -3.558 -0.412 4.147
Ga -1.991 -2.775 3.169
P -1.229 1.352 4.284
I -2.409 3.188 -1.699
La -5.912 2.702 2.488
La -5.242 1.239 -1.207
La -5.986 -2.791 -2.297
P -5.162 -3.713 0.354
La -2.889 -1.875 0.452
```



# 7
Computed, not measured: an optimized crystal structure of VTcAg3 at the GGA-PBE level of DFT.

Calculated values
- ΔE_f: 8.82 eV/f.u.
- E above lowest polymorph: 0.02 eV per formula unit

```
5
Lattice="5.046 0.000 0.000 0.000 5.046 0.000 0.000 0.000 5.046" Properties=species:S:1:pos:R:3 pbc="T T T"
Ag 2.523 0.000 0.000
V 2.523 2.523 2.523
Ag 0.000 0.000 2.523
Tc 0.000 0.000 0.000
Ag 0.000 2.523 0.000
```



# 8
Computed, not measured: an optimized crystal structure of MgIn2SN at the GGA-PBE level of DFT.

Calculated values
- Formation energy from raw total energies: -0.1 kcal/mol of atoms

```
5
Lattice="-2.289 4.224 1.335 -2.912 -2.140 1.779 2.575 0.046 4.270" Properties=species:S:1:pos:R:3 pbc="T T T"
In -1.145 2.112 0.667
N 0.000 0.000 0.000
S -1.313 1.065 3.692
Mg -1.456 -1.070 0.890
In 1.287 0.023 2.135
```



# 9
Computed, not measured: an optimized crystal structure of PSe at the GGA-PBE level of DFT.

Calculated values
- Formation energy from raw total energies: 11.7 kcal/mol of atoms
- E above lowest polymorph: 1.17 eV per formula unit

```
4
Lattice="-1.277 -0.880 3.464 -0.863 -2.214 -2.960 8.725 -5.751 1.756" Properties=species:S:1:pos:R:3 pbc="T T T"
P 1.981 -3.735 -0.219
Se 5.457 -6.026 0.481
Se 0.956 -2.706 1.745
P 6.205 -6.166 2.801
```



# 10
Computed, not measured: an optimized crystal structure of Eu2TlCu at the GGA-PBE level of DFT.

Calculated values
- ΔE_f: -0.94 eV/f.u.
- E above lowest polymorph: 0.00 eV per formula unit

```
4
Lattice="-2.316 -0.725 -2.727 -2.700 -0.453 2.414 -1.868 8.109 -0.568" Properties=species:S:1:pos:R:3 pbc="T T T"
Eu -1.458 6.330 -0.444
Tl -3.442 3.466 -0.440
Eu -0.410 1.780 -0.125
Cu -2.508 -0.589 -0.156
```



# 11
Computed, not measured: an optimized crystal structure of YFePt3 at the GGA-PBE level of DFT.

Calculated values
- ΔE_f: 7.85 eV/f.u.
- E above lowest polymorph: 8.42 eV per formula unit

```
5
Lattice="-4.841 -0.189 -1.401 -0.328 -4.712 1.768 -1.375 1.788 4.511" Properties=species:S:1:pos:R:3 pbc="T T T"
Pt -0.164 -2.356 0.884
Pt -2.420 -0.094 -0.701
Fe -3.272 -1.557 2.438
Y 0.000 0.000 0.000
Pt -0.688 0.894 2.255
```



# 12
Computed, not measured: an optimized crystal structure of Na2InAu2 at the GGA-PBE level of DFT.

Calculated values
- ΔE_f: -1.59 eV/f.u.
- E above lowest polymorph: 0.00 eV per formula unit

```
10
Lattice="-1.857 -0.906 5.446 -1.094 -4.247 -4.196 7.625 -1.770 2.308" Properties=species:S:1:pos:R:3 pbc="T T T"
In 4.337 -5.715 -1.622
Na -0.135 -2.022 1.865
Na 1.512 -3.764 -0.976
Au 6.828 -4.853 -0.729
Na 3.161 -3.159 4.534
Au -2.155 -2.070 4.287
Na 4.808 -4.901 1.693
Au 1.673 -4.622 2.054
In 0.336 -1.208 5.180
Au 3.001 -2.300 1.504
```



# 13
Computed, not measured: an optimized crystal structure of MoAs2Se at the GGA-PBE level of DFT.

Calculated values
- Formation energy from raw total energies: 7.9 kcal/mol of atoms

```
4
Lattice="4.669 0.105 0.224 -1.685 4.349 0.299 1.300 1.910 4.062" Properties=species:S:1:pos:R:3 pbc="T T T"
As 2.985 1.008 2.143
Mo -0.192 3.130 2.180
Se 1.492 2.227 0.261
As 0.000 0.000 0.000
```



# 14
Computed, not measured: an optimized crystal structure of YCu2Ni at the GGA-PBE level of DFT.

Calculated values
- ΔE_f: -0.73 eV/f.u.
- E above lowest polymorph: 0.31 eV per formula unit

```
4
Lattice="-2.697 1.615 -4.055 0.965 -0.030 -5.039 -2.172 -2.483 -3.930" Properties=species:S:1:pos:R:3 pbc="T T T"
Cu -3.725 -0.857 -12.431
Ni -0.976 -0.224 -3.256
Y -2.927 -0.673 -9.768
Cu -2.129 -0.490 -7.105
```



# 15
Computed, not measured: an optimized crystal structure of Tb2Be4Ir5 at the GGA-PBE level of DFT.

Calculated values
- ΔE_f: -7.20 eV/f.u.

```
11
Lattice="-1.746 -0.576 5.375 3.595 -0.786 4.086 -0.438 5.864 3.488" Properties=species:S:1:pos:R:3 pbc="T T T"
Ir 0.269 2.107 7.818
Ir -0.873 -0.288 2.687
Be 0.750 3.326 9.605
Be -0.006 3.795 6.408
Be 1.417 0.707 6.540
Ir 0.925 -0.681 4.730
Tb -1.628 1.088 5.591
Ir 1.142 2.395 5.130
Ir 1.798 -0.393 2.043
Tb -0.555 4.200 3.271
Be 0.662 1.176 3.343
```



# 16
Computed, not measured: an optimized crystal structure of Sm3Ho3In at the GGA-PBE level of DFT.

Calculated values
- ΔE_f: -0.10 eV/f.u.
- E above lowest polymorph: 0.68 eV per formula unit

```
28
Lattice="5.214 0.000 0.000 0.000 13.399 0.000 0.000 0.000 12.722" Properties=species:S:1:pos:R:3 pbc="T T T"
In 1.304 7.416 8.680
Ho 1.304 0.272 0.858
In 1.304 0.717 10.404
Sm 1.304 4.182 7.934
Ho 3.911 9.708 0.758
In 3.911 12.683 2.319
Ho 3.911 12.680 5.451
Sm 1.304 4.333 2.943
Ho 1.304 0.719 7.271
In 3.911 5.983 4.042
Ho 3.911 13.128 11.864
Ho 3.911 5.981 0.910
Sm 3.911 2.366 9.305
Ho 3.911 6.428 7.220
Sm 3.911 12.214 8.776
Sm 3.911 5.515 10.308
Sm 3.911 9.066 9.779
Sm 1.304 7.884 2.415
Ho 1.304 7.418 11.812
Sm 1.304 10.881 11.150
Sm 3.911 9.217 4.789
Ho 1.304 3.692 11.964
Sm 1.304 1.185 3.947
Ho 3.911 3.008 5.603
Sm 1.304 11.033 3.418
Sm 3.911 2.518 1.572
Ho 1.304 6.971 5.503
Ho 1.304 10.391 7.120
```



# 17
Computed, not measured: an optimized crystal structure of Te2OsRh at the GGA-PBE level of DFT.

Calculated values
- Formation energy from raw total energies: 9.6 kcal/mol of atoms
- E above lowest polymorph: 1.76 eV per formula unit

```
4
Lattice="-8.202 -2.814 -4.694 -5.937 -4.211 -6.651 -6.959 -5.776 -3.929" Properties=species:S:1:pos:R:3 pbc="T T T"
Rh -5.194 -3.151 -3.760
Te -16.376 -9.936 -11.856
Te -20.537 -12.460 -14.869
Os -10.638 -6.454 -7.701
```



# 18
Computed, not measured: an optimized crystal structure of ZnCdCo4 at the GGA-PBE level of DFT.

Calculated values
- ΔE_f: 1.11 eV/f.u.

```
6
Lattice="0.000 3.409 3.409 3.409 0.000 3.409 3.409 3.409 0.000" Properties=species:S:1:pos:R:3 pbc="T T T"
Zn 5.114 5.114 5.114
Co 4.259 2.560 4.259
Co 2.560 2.560 2.560
Cd 0.000 0.000 0.000
Co 2.560 4.259 4.259
Co 4.259 4.259 2.560
```



# 19
Computed, not measured: an optimized crystal structure of CaAlCu2 at the GGA-PBE level of DFT.

Calculated values
- ΔE_f: 0.02 eV/f.u.

```
4
Lattice="-2.745 -1.922 2.934 2.098 -3.886 -0.583 2.252 0.819 2.643" Properties=species:S:1:pos:R:3 pbc="T T T"
Cu 0.000 0.000 0.000
Al -0.246 -0.551 2.789
Cu -0.324 -2.904 1.176
Ca 2.175 -1.533 1.030
```



# 20
Computed, not measured: an optimized crystal structure of CePr2H6 at the GGA-PBE level of DFT.

Calculated values
- Calculated total energy: -4.551 eV per atom

```
9
Lattice="3.812 0.000 -0.804 -0.169 3.808 -0.804 -0.150 -0.156 8.732" Properties=species:S:1:pos:R:3 pbc="T T T"
H 1.314 3.366 6.232
H 0.188 2.189 0.893
H 2.742 0.874 3.563
Pr 1.116 1.167 5.294
Pr 2.377 2.485 1.831
Ce 0.000 0.000 0.000
H 3.305 1.462 6.232
H 2.179 0.285 0.893
H 0.751 2.778 3.563
```



# 21
Computed, not measured: an optimized crystal structure of CaCrIr2 at the GGA-PBE level of DFT.

Calculated values
- ΔE_f: 0.49 eV/f.u.
- E above lowest polymorph: 1.01 eV per formula unit

```
4
Lattice="-0.522 1.295 -5.009 1.316 -0.957 -4.939 -3.601 -2.990 -1.639" Properties=species:S:1:pos:R:3 pbc="T T T"
Ca -1.400 -1.321 -5.726
Ir -2.752 -2.606 -11.561
Ir -2.380 -2.210 -8.596
Cr -0.486 -0.493 -3.083
```



# 22
Computed, not measured: an optimized crystal structure of NiAgSe2Br at the GGA-PBE level of DFT.

Calculated values
- Formation energy from raw total energies: 6.6 kcal/mol of atoms
- E above lowest polymorph: 0.00 eV per formula unit

```
5
Lattice="-3.159 1.111 -3.253 0.926 -3.979 -2.258 -3.732 -2.451 2.787" Properties=species:S:1:pos:R:3 pbc="T T T"
Br -1.866 -1.225 1.394
Ni 0.000 0.000 0.000
Se -1.579 0.555 -1.626
Ag -2.982 -2.660 -1.362
Se 0.463 -1.990 -1.129
```



# 23
Computed, not measured: an optimized crystal structure of KBCl2 at the GGA-PBE level of DFT.

Calculated values
- Formation energy from raw total energies: -3.4 kcal/mol of atoms
- E above lowest polymorph: 0.00 eV per formula unit

```
8
Lattice="-2.625 -1.143 5.472 -3.712 -4.164 -2.651 1.362 -7.439 2.584" Properties=species:S:1:pos:R:3 pbc="T T T"
Cl -1.688 -7.943 2.759
Cl -2.543 -4.707 0.163
K 0.000 0.000 0.000
B -3.169 -2.653 1.411
B -2.760 -7.128 0.672
K -2.216 -5.618 4.734
Cl -1.529 -2.993 3.245
Cl -4.191 -9.850 4.644
```